Computed, not measured: a geometry-optimized CaTlAuSe structure at the GGA-PBE level of DFT.

Unit cell a=5.0583 b=4.1829 c=10.0401 alpha=90.00 beta=90.00 gamma=90.00
With the nearest neighbours (Å) after each atom.
Sites, in units of the cell vectors:
Tl: 0.5000 0.0000 0.0959  3 Au 2.79-3.05
Tl: 0.5000 0.5000 0.5959  3 Au 2.79-3.05
Au: 0.5000 0.0000 0.3742  3 Tl 2.79-3.05, 2 Se 3.10
Au: 0.5000 0.5000 0.8742  3 Tl 2.79-3.05, 2 Se 3.10
Ca: 0.0000 0.0000 0.8451  3 Se 2.93-2.95
Ca: 0.0000 0.5000 0.3451  3 Se 2.93-2.95
Se: 0.0000 0.0000 0.5528  3 Ca 2.93-2.95, 2 Au 3.10
Se: 0.0000 0.5000 0.0528  3 Ca 2.93-2.95, 2 Au 3.10

Values from the calculation:
Volume in Å³/cell: 212
Spin magnetization in μB/f.u.: 0.0
Energy relative to the lowest polymorph listed for this composition in eV per atom: 0.100
Symmetry: Amm2, No. 38
Formation energy (no corrections) in meV per atom: -750.7
Electronic total energy in eV/atom: -3.533

***

Computed, not measured: a geometry-optimized Ac2MgScSe5 structure at the GGA-PBE level of DFT.

Unit cell a=4.2244 b=9.1777 c=12.7055 alpha=90.00 beta=90.00 gamma=103.31
With the nearest neighbours (Å) after each atom.
Sites, in units of the cell vectors:
Ac: 0.8641 0.7281 0.8058  8 Se 3.14-3.44
Ac: 0.1153 0.2305 0.6879  8 Se 3.10-3.40
Ac: 0.1359 0.2719 0.3058  8 Se 3.14-3.44
Ac: 0.8847 0.7695 0.1879  8 Se 3.10-3.40
Mg: 0.5502 0.1005 0.9549  4 Se 2.51-2.72
Mg: 0.4498 0.8995 0.4549  4 Se 2.51-2.72
Sc: 0.7963 0.5927 0.5147  6 Se 2.74-2.85
Sc: 0.2037 0.4073 0.0147  6 Se 2.74-2.85
Se: 0.3569 0.7137 0.0013  1 Sc 2.74
Se: 0.6886 0.3771 0.8659  1 Mg 2.72, 2 Sc 2.85
Se: 0.4948 0.9897 0.7736  1 Mg 2.51
Se: 0.2876 0.5752 0.6577  2 Sc 2.79, 1 Ac 3.10
Se: 0.9476 0.8952 0.5621  2 Mg 2.51, 1 Sc 2.77
Se: 0.6431 0.2863 0.5013  1 Sc 2.74
Se: 0.3114 0.6229 0.3659  1 Mg 2.72, 2 Sc 2.85
Se: 0.5052 0.0103 0.2736  1 Mg 2.51
Se: 0.7124 0.4248 0.1577  2 Sc 2.79, 1 Ac 3.10
Se: 0.0524 0.1048 0.0621  2 Mg 2.51, 1 Sc 2.77

Values from the calculation:
Volume in Å³/cell: 479
Spin magnetization in μB/f.u.: 0.0
Symmetry: Cmc2_1, No. 36
Formation energy (no corrections) in meV per atom: -1749.6
Electronic total energy in eV/atom: -5.479

***

Computed, not measured: a geometry-optimized LaIrRh structure at the GGA-PBE level of DFT.

Unit cell a=4.3259 b=4.3259 c=4.1599 alpha=90.00 beta=90.00 gamma=120.00
With the nearest neighbours (Å) after each atom.
Sites, in units of the cell vectors:
La: 0.6667 0.3333 0.0000  6 Ir 3.25, 6 Rh 3.25
Ir: 0.0000 0.0000 0.5000  3 Rh 2.50
Rh: 0.3333 0.6667 0.5000  3 Ir 2.50

Values from the calculation:
Volume in Å³/cell: 67
Formation energy from the elements in meV per atom: -482
Spin magnetization in μB/f.u.: 0.0
Energy relative to the lowest polymorph listed for this composition in eV per atom: 0.232
Symmetry: P-6m2, No. 187
Electronic total energy in eV/atom: -7.529